(1)
Crystalline Y3Tm5H12 at its relaxed geometry. Source: the Alexandria database, functional PBE.

Cell: 12.915 12.915 12.915 Å, 90.00 90.00 90.00°
Space group Ia-3d (No. 230)
Symmetry-distinct sites (fractional):
1 Y 0.000 0.250 0.125 (multiplicity 24)
2 Tm 0.000 0.000 0.000 (multiplicity 16)
3 Tm 0.000 0.250 0.375 (multiplicity 24)
4 H 0.003 0.065 0.655 (multiplicity 96)

The energy is -4.570 eV/atom.

---

(2)
Crystalline CeBeGa at its relaxed geometry. Source: the Alexandria database, functional PBE.

Cell: 6.225 6.225 6.225 Å, 90.00 90.00 90.00°
Space group F-43m (No. 216)
Symmetry-distinct sites (fractional):
1 Ce 0.000 0.000 0.000 (multiplicity 4)
2 Be 0.250 0.250 0.250 (multiplicity 4)
3 Ga 0.000 0.000 0.500 (multiplicity 4)

The energy is -4.386 eV/atom. As for the polymorph energy (0 for the lowest one): 116 meV per atom. The value obtained for the formation energy is -0.157 eV per atom.

---

(3)
Crystalline SrTaTl2Se at its relaxed geometry. Source: the Alexandria database, functional PBE.

Cell: 6.186 6.186 5.503 Å, 90.00 90.00 90.00°
Space group P4/mmm (No. 123)
Symmetry-distinct sites (fractional):
1 Sr 0.000 0.000 0.000 (multiplicity 1)
2 Ta 0.500 0.500 0.500 (multiplicity 1)
3 Tl 0.000 0.500 0.000 (multiplicity 2)
4 Se 0.000 0.000 0.500 (multiplicity 1)

The energy is -3.071 eV/atom. The value obtained for the formation energy (no corrections) is 1.28 eV/atom.

---

(4)
Crystalline Ce7CoI12 at its relaxed geometry. Source: the Alexandria database, functional PBE.

Cell: 16.0468 16.0468 10.8682 Å, 90.00 90.00 120.00°
Space group R-3 (No. 148, hexagonal axes)
Symmetry-distinct sites (fractional):
1 Ce 0.0000 0.0000 0.0000 (multiplicity 3)
2 Ce 0.0421 0.8857 0.3533 (multiplicity 18)
3 Co 0.0000 0.0000 0.5000 (multiplicity 3)
4 I 0.0204 0.4344 0.1606 (multiplicity 18)
5 I 0.0509 0.8649 0.8383 (multiplicity 18)

The energy is -4.485 eV/atom. The value obtained for the formation energy (no corrections) is -1.12 eV/atom.

---

(5)
Crystalline Hg2WSe at its relaxed geometry. Source: the Alexandria database, functional PBE.

Cell: 2.825 2.825 10.706 Å, 90.00 90.00 90.00°
Space group P4/mmm (No. 123)
Symmetry-distinct sites (fractional):
1 Hg 0.000 0.000 0.215 (multiplicity 2)
2 W 0.500 0.500 0.000 (multiplicity 1)
3 Se 0.500 0.500 0.500 (multiplicity 1)

The energy is -3.522 eV/atom. The value obtained for the formation energy (no corrections) is 0.74 eV/atom.

---

(6)
Crystalline LiNd4Se5 at its relaxed geometry. Source: the Alexandria database, functional PBE.

Cell: 9.373 9.373 5.935 Å, 90.00 90.00 90.00°
Space group I4 (No. 79)
Symmetry-distinct sites (fractional):
1 Li 0.000 0.000 0.000 (multiplicity 2)
2 Nd 0.099 0.700 0.484 (multiplicity 8)
3 Se 0.000 0.000 0.482 (multiplicity 2)
4 Se 0.095 0.711 0.984 (multiplicity 8)

The energy is -5.624 eV/atom. As for the polymorph energy (0 for the lowest one): 0 meV per atom. The value obtained for the formation energy (no corrections) is -1.78 eV/atom.

---

(7)
Crystalline Tc2MoRh at its relaxed geometry. Source: the Alexandria database, functional PBE.

Cell: 2.759 2.759 7.781 Å, 90.00 90.00 90.00°
Space group P4mm (No. 99)
Symmetry-distinct sites (fractional):
1 Tc 0.000 0.000 0.000 (multiplicity 1)
2 Tc 0.500 0.500 0.236 (multiplicity 1)
3 Mo 0.000 0.000 0.495 (multiplicity 1)
4 Rh 0.500 0.500 0.745 (multiplicity 1)

The energy is -9.747 eV/atom. As for the polymorph energy (0 for the lowest one): 48 meV per atom. The value obtained for the formation energy is -0.018 eV per atom.

---

(8)
Crystalline Cs2MgCuBr6 at its relaxed geometry. Source: the Alexandria database, functional PBE.

Cell: 7.738 7.738 10.654 Å, 90.00 90.00 90.00°
Space group I4/mmm (No. 139)
Symmetry-distinct sites (fractional):
1 Cs 0.000 0.500 0.250 (multiplicity 4)
2 Mg 0.000 0.000 0.000 (multiplicity 2)
3 Cu 0.000 0.000 0.500 (multiplicity 2)
4 Br 0.000 0.000 0.273 (multiplicity 4)
5 Br 0.243 0.243 0.000 (multiplicity 8)

The energy is -2.940 eV/atom. As for the polymorph energy (0 for the lowest one): 32 meV per atom. The value obtained for the formation energy (no corrections) is -1.20 eV/atom.

---

> Among the records above, which one has the lowest energy?

Tc2MoRh

---

> What is the formula in the third record?

SrTaTl2Se

---

> What is the energy in the second record?

-4.386 eV/atom